(1)
# ZrRePt2

Crystalline ZrRePt2 at its relaxed geometry (GGA-PBE, Alexandria).

a b c (Å): 2.8350 2.8350 8.3305
angles (deg): 90.00 90.00 90.00
Fractional positions:
Zr 0.0000 0.0000 0.0000
Re 0.5000 0.5000 0.7261
Pt 0.0000 0.0000 0.5077
Pt 0.5000 0.5000 0.2511

Results
ΔH_f (0 K) = -0.31 eV per atom
excess energy over the best structure of this formula in the dataset = 239 meV/atom

(2)
# ZrRe2Pt

Crystalline ZrRe2Pt at its relaxed geometry (GGA-PBE, Alexandria).

a b c (Å): 3.9316 3.9316 4.2634
angles (deg): 90.00 90.00 90.00
Fractional positions:
Zr 0.0000 0.0000 0.0000
Re 0.0000 0.5000 0.5000
Re 0.5000 0.0000 0.5000
Pt 0.5000 0.5000 0.0000

Results
ΔH_f (0 K) = -0.21 eV per atom
excess energy over the best structure of this formula in the dataset = 22 meV/atom

(3)
# ZrRePt

Crystalline ZrRePt at its relaxed geometry (GGA-PBE, Alexandria).

a b c (Å): 5.0907 5.0907 5.0907
angles (deg): 140.68 140.68 56.82
Fractional positions:
Zr 0.0000 0.0000 0.0000
Re 0.6662 0.6662 0.0000
Pt 0.3264 0.3264 0.0000

Results
ΔH_f (0 K) = -0.12 eV per atom
excess energy over the best structure of this formula in the dataset = 137 meV/atom

(4)
# ZrRePt2

Crystalline ZrRePt2 at its relaxed geometry (GGA-PBE, Alexandria).

a b c (Å): 9.7122 9.7122 9.7122
angles (deg): 156.48 156.48 33.51
Fractional positions:
Zr 0.0000 0.0000 0.0000
Zr 0.7500 0.2500 0.5000
Re 0.2500 0.7500 0.5000
Re 0.5000 0.5000 0.0000
Pt 0.1370 0.6250 0.0120
Pt 0.3750 0.3870 0.5120
Pt 0.6130 0.1250 0.9880
Pt 0.8750 0.8630 0.4880

Results
ΔH_f (0 K) = 0.03 eV per atom
excess energy over the best structure of this formula in the dataset = 579 meV/atom

(5)
# Zr2RePt

Crystalline Zr2RePt at its relaxed geometry (GGA-PBE, Alexandria).

a b c (Å): 3.4922 3.9558 5.6747
angles (deg): 90.00 90.00 90.00
Fractional positions:
Zr 0.0000 0.0000 0.0000
Zr 0.5000 0.5000 0.3454
Re 0.5000 0.5000 0.8606
Pt 0.0000 0.0000 0.5080

Results
ΔH_f (0 K) = -0.29 eV per atom

(6)
# ZrRe2Pt

Crystalline ZrRe2Pt at its relaxed geometry (GGA-PBE, Alexandria).

a b c (Å): 3.3864 3.3864 5.9055
angles (deg): 90.00 90.00 90.00
Fractional positions:
Zr 0.0000 0.0000 0.0000
Re 0.5000 0.5000 0.2772
Re 0.5000 0.5000 0.7228
Pt 0.0000 0.0000 0.5000

Results
ΔH_f (0 K) = 0.09 eV per atom
excess energy over the best structure of this formula in the dataset = 327 meV/atom

(7)
# Zr2RePt

Crystalline Zr2RePt at its relaxed geometry (GGA-PBE, Alexandria).

a b c (Å): 10.1832 10.1832 10.1832
angles (deg): 16.47 16.47 16.47
Fractional positions:
Zr 0.0000 0.0000 0.0000
Zr 0.2376 0.2376 0.2376
Re 0.7503 0.7503 0.7503
Pt 0.4897 0.4897 0.4897

Results
ΔH_f (0 K) = 0.09 eV per atom

(8)
# ZrRePt2

Crystalline ZrRePt2 at its relaxed geometry (GGA-PBE, Alexandria).

a b c (Å): 4.9285 4.9285 5.0678
angles (deg): 99.00 99.00 33.42
Fractional positions:
Zr 0.0000 0.0000 0.0000
Re 0.2493 0.2493 0.6939
Pt 0.5080 0.5080 0.5122
Pt 0.7526 0.7526 0.2345

Results
ΔH_f (0 K) = -0.42 eV per atom
excess energy over the best structure of this formula in the dataset = 128 meV/atom

(9)
# ZrRePt2

Crystalline ZrRePt2 at its relaxed geometry (GGA-PBE, Alexandria).

a b c (Å): 2.8184 2.8184 8.3030
angles (deg): 90.00 90.00 90.00
Fractional positions:
Zr 0.0000 0.0000 0.0000
Re 0.0000 0.0000 0.5000
Pt 0.5000 0.5000 0.2670
Pt 0.5000 0.5000 0.7330

Results
ΔH_f (0 K) = -0.38 eV per atom
excess energy over the best structure of this formula in the dataset = 169 meV/atom

(10)
# ZrRe2Pt

Crystalline ZrRe2Pt at its relaxed geometry (GGA-PBE, Alexandria).

a b c (Å): 5.0358 5.0358 2.7792
angles (deg): 90.00 90.00 111.26
Fractional positions:
Zr 0.0000 0.0000 0.0000
Re 0.0000 0.5000 0.5000
Re 0.5000 0.0000 0.5000
Pt 0.5000 0.5000 0.0000

Results
ΔH_f (0 K) = 0.02 eV per atom
excess energy over the best structure of this formula in the dataset = 255 meV/atom

(11)
# ZrRePt

Crystalline ZrRePt at its relaxed geometry (GGA-PBE, Alexandria).

a b c (Å): 6.6965 6.6965 6.6965
angles (deg): 155.57 155.57 34.82
Fractional positions:
Zr 0.0000 0.0000 0.0000
Re 0.6761 0.6761 0.0000
Pt 0.3228 0.3228 0.0000

Results
ΔH_f (0 K) = -0.26 eV per atom
excess energy over the best structure of this formula in the dataset = 0 meV/atom

(12)
# ZrRePt

Crystalline ZrRePt at its relaxed geometry (GGA-PBE, Alexandria).

a b c (Å): 5.2643 5.2643 5.2643
angles (deg): 149.06 135.35 55.31
Fractional positions:
Zr 0.0000 0.0000 0.0000
Re 0.3198 0.3198 0.0000
Pt 0.6878 0.6878 0.0000

Results
ΔH_f (0 K) = -0.17 eV per atom
excess energy over the best structure of this formula in the dataset = 82 meV/atom